K3Hg4Au4: optimized geometry, PBE-GGA.

## Properties
**ΔH_f (0 K)**: -0.21 eV per atom
**Density of states at the Fermi level**: 0.17 states/eV per atom
**Total moment**: 0.00 μB/f.u.
**Energy relative to the lowest polymorph listed for this composition**: 37 meV/atom

a = 7.5935 Å, b = 7.5935 Å, c = 7.5935 Å
α = 109.47°, β = 109.47°, γ = 109.47°
Element x y z (fractional)
K1 0.0000 0.5000 0.5000
K2 0.5000 0.0000 0.5000
K3 0.5000 0.5000 0.0000
Hg1 0.0000 0.0000 0.2630
Hg2 0.0000 0.2630 0.0000
Hg3 0.2630 0.0000 0.0000
Hg4 0.7370 0.7370 0.7370
Au1 0.0000 0.0000 0.6209
Au2 0.0000 0.6209 0.0000
Au3 0.3791 0.3791 0.3791
Au4 0.6209 0.0000 0.0000

***

K3HgAu: optimized geometry, PBE-GGA.

## Properties
**ΔH_f (0 K)**: -0.23 eV per atom
**Density of states at the Fermi level**: 0.22 states/eV per atom
**Total moment**: 0.00 μB/f.u.
**Energy relative to the lowest polymorph listed for this composition**: 19 meV/atom

a = 8.6927 Å, b = 8.6927 Å, c = 10.0189 Å
α = 90.61°, β = 90.61°, γ = 32.34°
Element x y z (fractional)
K1 0.0551 0.0551 0.1720
K2 0.2306 0.2306 0.8367
K3 0.4076 0.4076 0.3941
K4 0.5924 0.5924 0.6059
K5 0.7694 0.7694 0.1633
K6 0.9449 0.9449 0.8280
Hg1 0.2045 0.2045 0.4382
Hg2 0.7955 0.7955 0.5618
Au1 0.4186 0.4186 0.0579
Au2 0.5814 0.5814 0.9421